! PBE Sm4BiPbC, relaxed; values from VASP
! magnetic moment	0.0	μB per formula unit
&SYSTEM
  ibrav = 0, nat = 14, ntyp = 4
/
ATOMIC_SPECIES
Sm 150.36 Sm.upf
Pb 207.20 Pb.upf
Bi 208.98 Bi.upf
C 12.01 C.upf
ATOMIC_POSITIONS angstrom
Sm 0.000 5.280 6.638
Sm 3.520 1.760 6.673
Sm -1.760 3.520 4.094
Sm 1.760 3.520 4.094
Sm 1.760 0.000 4.094
Sm 0.000 5.280 1.515
Sm -1.760 0.000 4.094
Sm 3.520 1.760 1.549
Pb 3.520 5.280 6.424
Pb 0.000 1.760 1.763
Bi 3.520 5.280 1.752
Bi 0.000 1.760 6.435
C 3.520 1.760 4.098
C 0.000 5.280 4.090
CELL_PARAMETERS angstrom
7.040 0.000 0.000
0.000 7.040 0.000
-3.520 0.000 8.187


! PBE Tb4BiPbC, relaxed; values from VASP
! magnetic moment	0.0	μB per formula unit
&SYSTEM
  ibrav = 0, nat = 14, ntyp = 4
/
ATOMIC_SPECIES
Tb 158.93 Tb.upf
C 12.01 C.upf
Bi 208.98 Bi.upf
Pb 207.20 Pb.upf
ATOMIC_POSITIONS angstrom
Tb -3.132 -1.583 4.330
Tb -4.550 1.173 5.958
Tb 0.138 -2.456 5.001
Tb -2.300 -2.895 7.438
Tb 1.162 0.728 4.157
Tb -1.713 -4.339 2.702
Tb -3.964 -0.271 1.221
Tb -2.108 1.601 3.486
C -2.008 -3.613 5.082
C -4.255 0.447 3.577
Bi -5.006 -3.410 2.214
Bi -1.258 0.244 6.445
Pb -5.550 -2.070 6.608
Pb -0.713 -1.096 2.051
CELL_PARAMETERS angstrom
-6.540 1.746 -1.342
-2.047 -6.368 1.688
2.323 1.457 8.314


! PBE BiPd3C, relaxed; values from VASP
! energy above the most stable polymorph in this dataset	0	meV/atom
! magnetic moment	0.0	μB per formula unit
&SYSTEM
  ibrav = 0, nat = 5, ntyp = 3
/
ATOMIC_SPECIES
Pd 106.42 Pd.upf
C 12.01 C.upf
Bi 208.98 Bi.upf
ATOMIC_POSITIONS angstrom
Pd -0.961 0.092 1.927
Pd 0.971 -1.837 0.571
Pd -1.667 -1.122 -0.778
C 0.000 0.000 0.000
Bi -1.657 -2.868 1.721
CELL_PARAMETERS angstrom
-1.921 0.183 3.854
-3.335 -2.245 -1.555
1.941 -3.675 1.143


! PBE BiPd3C, relaxed; values from VASP
! energy above the most stable polymorph in this dataset	1891	meV/atom
! magnetic moment	0.8	μB per formula unit
&SYSTEM
  ibrav = 0, nat = 5, ntyp = 3
/
ATOMIC_SPECIES
Pd 106.42 Pd.upf
C 12.01 C.upf
Bi 208.98 Bi.upf
ATOMIC_POSITIONS angstrom
Pd 0.363 -0.041 -2.512
Pd 1.262 -2.191 0.218
Pd -2.172 -1.280 -0.293
C -0.547 -3.512 -2.587
Bi 0.000 0.000 0.000
CELL_PARAMETERS angstrom
-4.344 -2.561 -0.586
0.726 -0.082 -5.023
2.524 -4.382 0.436


! PBE Bi3PdC, relaxed; values from VASP
! energy above the most stable polymorph in this dataset	0	meV/atom
! magnetic moment	0.0	μB per formula unit
&SYSTEM
  ibrav = 0, nat = 5, ntyp = 3
/
ATOMIC_SPECIES
Bi 208.98 Bi.upf
Pd 106.42 Pd.upf
C 12.01 C.upf
ATOMIC_POSITIONS angstrom
Bi -0.556 -0.638 -2.308
Bi 2.013 -1.408 -0.095
Bi -1.297 -1.911 0.841
Pd 0.160 -3.958 -1.563
C 0.000 0.000 0.000
CELL_PARAMETERS angstrom
-1.111 -1.276 -4.616
4.026 -2.816 -0.190
-2.595 -3.823 1.681


! PBE Bi3PdC, relaxed; values from VASP
! energy above the most stable polymorph in this dataset	661	meV/atom
! magnetic moment	0.7	μB per formula unit
&SYSTEM
  ibrav = 0, nat = 5, ntyp = 3
/
ATOMIC_SPECIES
Pd 106.42 Pd.upf
Bi 208.98 Bi.upf
C 12.01 C.upf
ATOMIC_POSITIONS angstrom
Pd 0.000 0.000 0.000
Bi 0.000 0.000 2.682
Bi 2.682 0.000 0.000
Bi 0.000 2.682 0.000
C 2.682 2.682 2.682
CELL_PARAMETERS angstrom
5.364 0.000 0.000
0.000 5.364 0.000
0.000 0.000 5.364


! PBE BiPdC3, relaxed; values from VASP
! energy above the most stable polymorph in this dataset	0	meV/atom
! magnetic moment	0.0	μB per formula unit
&SYSTEM
  ibrav = 0, nat = 5, ntyp = 3
/
ATOMIC_SPECIES
Bi 208.98 Bi.upf
C 12.01 C.upf
Pd 106.42 Pd.upf
ATOMIC_POSITIONS angstrom
Bi 2.066 2.066 2.066
C 2.066 0.000 0.000
C 0.000 2.066 0.000
C 0.000 0.000 2.066
Pd 0.000 0.000 0.000
CELL_PARAMETERS angstrom
4.132 0.000 0.000
0.000 4.132 0.000
0.000 0.000 4.132


! PBE BiPdC3, relaxed; values from VASP
! energy above the most stable polymorph in this dataset	966	meV/atom
! magnetic moment	0.0	μB per formula unit
&SYSTEM
  ibrav = 0, nat = 5, ntyp = 3
/
ATOMIC_SPECIES
C 12.01 C.upf
Pd 106.42 Pd.upf
Bi 208.98 Bi.upf
ATOMIC_POSITIONS angstrom
C 0.000 2.222 0.000
C 2.222 0.000 0.000
C 0.000 0.000 2.222
Pd 2.222 2.222 2.222
Bi 0.000 0.000 0.000
CELL_PARAMETERS angstrom
4.444 0.000 0.000
0.000 4.444 0.000
0.000 0.000 4.444


! PBE Bi2PdRhC, relaxed; values from VASP
! magnetic moment	1.3	μB per formula unit
&SYSTEM
  ibrav = 0, nat = 5, ntyp = 4
/
ATOMIC_SPECIES
Pd 106.42 Pd.upf
C 12.01 C.upf
Bi 208.98 Bi.upf
Rh 102.91 Rh.upf
ATOMIC_POSITIONS angstrom
Pd 0.000 0.000 0.000
C -3.780 -0.165 2.313
Bi -1.242 2.035 1.051
Bi -0.403 -1.371 2.179
Rh -2.135 -0.830 -0.917
CELL_PARAMETERS angstrom
-2.484 4.070 2.101
-4.270 -1.660 -1.833
-0.806 -2.741 4.358


! PBE BiPdRuC2, relaxed; values from VASP
! magnetic moment	1.7	μB per formula unit
&SYSTEM
  ibrav = 0, nat = 5, ntyp = 4
/
ATOMIC_SPECIES
C 12.01 C.upf
Bi 208.98 Bi.upf
Pd 106.42 Pd.upf
Ru 101.07 Ru.upf
ATOMIC_POSITIONS angstrom
C 2.225 0.000 0.000
C 0.000 0.000 2.225
Bi 0.000 0.000 0.000
Pd 0.000 2.533 0.000
Ru 2.225 2.533 2.225
CELL_PARAMETERS angstrom
4.450 0.000 0.000
0.000 5.066 0.000
0.000 0.000 4.450


! PBE Sr2BiPdC, relaxed; values from VASP
! magnetic moment	0.0	μB per formula unit
&SYSTEM
  ibrav = 0, nat = 5, ntyp = 4
/
ATOMIC_SPECIES
Sr 87.62 Sr.upf
Bi 208.98 Bi.upf
C 12.01 C.upf
Pd 106.42 Pd.upf
ATOMIC_POSITIONS angstrom
Sr -2.986 -0.386 -0.936
Sr -0.626 -1.586 2.653
Bi 0.000 0.000 0.000
C 0.564 -1.911 -1.009
Pd -3.049 -3.883 0.707
CELL_PARAMETERS angstrom
-5.972 -0.773 -1.872
1.127 -3.821 -2.019
-1.252 -3.172 5.305


! PBE BiPdWC2, relaxed; values from VASP
! magnetic moment	0.0	μB per formula unit
&SYSTEM
  ibrav = 0, nat = 5, ntyp = 4
/
ATOMIC_SPECIES
Bi 208.98 Bi.upf
C 12.01 C.upf
Pd 106.42 Pd.upf
W 183.84 W.upf
ATOMIC_POSITIONS angstrom
Bi 2.039 2.631 2.039
C 2.039 0.000 0.000
C 0.000 0.000 2.039
Pd 0.000 2.631 0.000
W 0.000 0.000 0.000
CELL_PARAMETERS angstrom
4.077 0.000 0.000
0.000 5.263 0.000
0.000 0.000 4.077


Number 1: volume 29.0 A^3/atom, ΔH_f (0 K) -0.555 eV per atom. Number 2: volume 27.4 A^3/atom, ΔH_f (0 K) -0.598 eV per atom. Number 3: volume 16.0 A^3/atom, ΔH_f (0 K) 0.145 eV per atom. Number 4: volume 26.2 A^3/atom, ΔH_f (0 K) 2.036 eV per atom. Number 5: volume 23.8 A^3/atom, ΔH_f (0 K) 0.923 eV per atom. Number 6: volume 30.9 A^3/atom, ΔH_f (0 K) 1.585 eV per atom. Number 7: volume 14.1 A^3/atom, ΔH_f (0 K) 2.467 eV per atom. Number 8: volume 17.5 A^3/atom, ΔH_f (0 K) 3.433 eV per atom. Number 9: volume 26.8 A^3/atom, ΔH_f (0 K) 1.976 eV per atom. Number 10: volume 20.1 A^3/atom, ΔH_f (0 K) 2.964 eV per atom. Number 11: volume 35.5 A^3/atom, ΔH_f (0 K) 0.903 eV per atom. Number 12: volume 17.5 A^3/atom, ΔH_f (0 K) 1.260 eV per atom.